Entry 1:
The following is a PBE calculation of a relaxed structure of MgScTlTe3, from the Alexandria database.

## Properties
Formation energy from raw total energies in eV per atom: -0.870

Structure (CIF):
```
data_MgScTlTe3
_chemical_formula_sum 'Mg2 Sc2 Tl2 Te6'
_space_group_name_H-M_alt 'P 1 21/m 1'
_space_group_IT_number 11
_space_group_name_Hall '-P 2yb'
_cell_length_a 9.250
_cell_length_b 4.365
_cell_length_c 10.429
_cell_angle_alpha 90.00
_cell_angle_beta 107.79
_cell_angle_gamma 90.00
loop_
_atom_site_label
_atom_site_type_symbol
_atom_site_fract_x
_atom_site_fract_y
_atom_site_fract_z
Mg1 Mg 0.082 0.250 0.112
Sc1 Sc 0.332 0.750 0.367
Tl1 Tl 0.208 0.250 0.727
Te1 Te 0.115 0.250 0.383
Te2 Te 0.233 0.750 0.046
Te3 Te 0.462 0.750 0.656
```

---

Entry 2:
The following is a PBE calculation of a relaxed structure of MgSc2VTe, from the Alexandria database.

## Properties
Formation energy from raw total energies in eV per atom: 0.375
DOS(E_F) in states/eV/f.u.: 7.3

Structure (CIF):
```
data_MgSc2VTe
_chemical_formula_sum 'Mg1 Sc2 V1 Te1'
_space_group_name_H-M_alt 'P 4/m m m'
_space_group_IT_number 123
_space_group_name_Hall '-P 4 2'
_cell_length_a 5.330
_cell_length_b 5.330
_cell_length_c 4.961
_cell_angle_alpha 90.00
_cell_angle_beta 90.00
_cell_angle_gamma 90.00
loop_
_atom_site_label
_atom_site_type_symbol
_atom_site_fract_x
_atom_site_fract_y
_atom_site_fract_z
Mg1 Mg 0.000 0.000 0.000
Sc1 Sc 0.000 0.500 0.500
V1 V 0.500 0.500 0.000
Te1 Te 0.500 0.500 0.500
```

---

Entry 3:
The following is a PBE calculation of a relaxed structure of Mg2ZrScTe, from the Alexandria database.

## Properties
Formation energy from raw total energies in eV per atom: 0.521
DOS(E_F) in states/eV/f.u.: 4.9

Structure (CIF):
```
data_Mg2ZrScTe
_chemical_formula_sum 'Mg2 Zr1 Sc1 Te1'
_space_group_name_H-M_alt 'P 4/m m m'
_space_group_IT_number 123
_space_group_name_Hall '-P 4 2'
_cell_length_a 5.253
_cell_length_b 5.253
_cell_length_c 5.420
_cell_angle_alpha 90.00
_cell_angle_beta 90.00
_cell_angle_gamma 90.00
loop_
_atom_site_label
_atom_site_type_symbol
_atom_site_fract_x
_atom_site_fract_y
_atom_site_fract_z
Mg1 Mg 0.000 0.500 0.000
Zr1 Zr 0.000 0.000 0.500
Sc1 Sc 0.500 0.500 0.500
Te1 Te 0.000 0.000 0.000
```

---

Entry 4:
The following is a PBE calculation of a relaxed structure of ThMgSc4, from the Alexandria database.

## Properties
Calculated formation energy in eV per atom: 0.0382
Energy relative to the lowest polymorph listed for this composition in meV/atom: 26.1
DOS(E_F) in states/eV/f.u.: 8.6

Structure (CIF):
```
data_ThMgSc4
_chemical_formula_sum 'Th2 Mg2 Sc8'
_space_group_name_H-M_alt 'C 1 2/m 1'
_space_group_IT_number 12
_space_group_name_Hall '-C 2y'
_cell_length_a 11.094
_cell_length_b 5.097
_cell_length_c 6.458
_cell_angle_alpha 90.00
_cell_angle_beta 123.30
_cell_angle_gamma 90.00
loop_
_atom_site_label
_atom_site_type_symbol
_atom_site_fract_x
_atom_site_fract_y
_atom_site_fract_z
Th1 Th 0.000 0.000 0.000
Mg1 Mg 0.000 0.000 0.500
Sc1 Sc 0.149 0.500 0.802
Sc2 Sc 0.195 0.500 0.338
```

---

Entry 5:
The following is a PBE calculation of a relaxed structure of Th2MgSc, from the Alexandria database.

## Properties
Calculated formation energy in eV per atom: 0.0793
Energy relative to the lowest polymorph listed for this composition in meV/atom: 41.4
DOS(E_F) in states/eV/f.u.: 4.2

Structure (CIF):
```
data_Th2MgSc
_chemical_formula_sum 'Th2 Mg1 Sc1'
_space_group_name_H-M_alt 'P 4/m m m'
_space_group_IT_number 123
_space_group_name_Hall '-P 4 2'
_cell_length_a 5.508
_cell_length_b 5.508
_cell_length_c 3.738
_cell_angle_alpha 90.00
_cell_angle_beta 90.00
_cell_angle_gamma 90.00
loop_
_atom_site_label
_atom_site_type_symbol
_atom_site_fract_x
_atom_site_fract_y
_atom_site_fract_z
Th1 Th 0.000 0.500 0.000
Mg1 Mg 0.000 0.000 0.500
Sc1 Sc 0.500 0.500 0.500
```

---

Entry 6:
The following is a PBE calculation of a relaxed structure of Th4MgSc5, from the Alexandria database.

## Properties
Calculated formation energy in eV per atom: 0.0027
DOS(E_F) in states/eV/f.u.: 9.5

Structure (CIF):
```
data_Th4MgSc5
_chemical_formula_sum 'Th4 Mg1 Sc5'
_space_group_name_H-M_alt 'P 4/m m m'
_space_group_IT_number 123
_space_group_name_Hall '-P 4 2'
_cell_length_a 3.514
_cell_length_b 3.514
_cell_length_c 22.156
_cell_angle_alpha 90.00
_cell_angle_beta 90.00
_cell_angle_gamma 90.00
loop_
_atom_site_label
_atom_site_type_symbol
_atom_site_fract_x
_atom_site_fract_y
_atom_site_fract_z
Th1 Th 0.000 0.000 0.104
Th2 Th 0.000 0.000 0.312
Mg1 Mg 0.000 0.000 0.500
Sc1 Sc 0.500 0.500 0.000
Sc2 Sc 0.500 0.500 0.207
Sc3 Sc 0.500 0.500 0.412
```